Material: Rb6TiBi4
Method: DFT, PBE
State: optimized geometry

Summary:
**DFT formation energy**: -0.29 eV per atom
**SG**: P6_3mc
**Total magnetization**: 2.127 μB/f.u.

a b c (Å): 9.210 11.708 11.708
angles (deg): 120.00 90.00 90.00
Each line ends with the local moment (μB).
Sites, in units of the cell vectors:
Rb 0.951 0.858 0.716  0.01
Bi 0.455 0.333 0.667  0.37
Bi 0.338 0.404 0.202  0.30
Rb 0.638 0.530 0.470  0.01
Rb 0.138 0.470 0.530  0.01
Ti 0.254 0.667 0.333  -0.28
Rb 0.951 0.858 0.142  0.01
Rb 0.138 0.059 0.530  0.01
Rb 0.451 0.716 0.858  0.01
Ti 0.754 0.333 0.667  -0.28
Rb 0.451 0.142 0.284  0.01
Bi 0.838 0.596 0.798  0.30
Rb 0.638 0.530 0.059  0.01
Bi 0.838 0.202 0.798  0.30
Rb 0.951 0.284 0.142  0.01
Bi 0.955 0.667 0.333  0.37
Bi 0.338 0.798 0.596  0.30
Rb 0.138 0.470 0.941  0.01
Bi 0.838 0.202 0.404  0.30
Rb 0.451 0.142 0.858  0.01
Bi 0.338 0.798 0.202  0.30
Rb 0.638 0.941 0.470  0.01

---

Material: La5Tb2Nd12
Method: DFT, PBE
State: optimized geometry

Summary:
**DFT formation energy**: 0.09 eV per atom
**SG**: C2/m
**Total magnetization**: 0.000 μB/f.u.

a b c (Å): 6.328 10.945 10.945
angles (deg): 66.31 79.11 79.11
Sites, in units of the cell vectors:
Nd 0.200 0.549 0.056
Nd 0.005 0.122 0.122
Nd 0.616 0.154 0.643
Nd 0.274 0.448 0.448
Nd 0.200 0.056 0.549
La 0.447 0.214 0.214
La 0.500 0.000 0.000
La 0.147 0.675 0.675
Nd 0.995 0.878 0.878
La 0.553 0.786 0.786
Tb 0.000 0.227 0.773
Nd 0.800 0.451 0.944
Tb 0.000 0.773 0.227
Nd 0.800 0.944 0.451
Nd 0.384 0.357 0.846
Nd 0.616 0.643 0.154
Nd 0.384 0.846 0.357
La 0.853 0.325 0.325
Nd 0.726 0.552 0.552

---

Material: CdRh2Cl
Method: DFT, PBE
State: optimized geometry

Summary:
**DFT total energy**: -4.057 eV/atom
**SG**: Imm2
**Total magnetization**: 0.000 μB/f.u.

a b c (Å): 5.576 5.576 5.576
angles (deg): 149.13 130.10 59.84
Sites, in units of the cell vectors:
Rh 0.777 0.277 0.500
Rh 0.014 0.014 0.000
Cd 0.491 0.491 0.000
Cl 0.219 0.719 0.500

---

Material: Pr2ErMg5Cd2
Method: DFT, PBE
State: optimized geometry

Summary:
**DFT formation energy**: -0.16 eV per atom
**SG**: P4/mbm
**Total magnetization**: 0.000 μB/f.u.

a b c (Å): 4.692 10.619 10.619
angles (deg): 90.00 90.00 90.00
Sites, in units of the cell vectors:
Mg 0.500 0.290 0.559
Cd 0.000 0.885 0.385
Er 0.000 0.000 0.000
Mg 0.500 0.941 0.210
Cd 0.000 0.115 0.615
Pr 0.000 0.680 0.180
Cd 0.000 0.615 0.885
Mg 0.500 0.441 0.290
Mg 0.500 0.559 0.710
Mg 0.500 0.210 0.059
Cd 0.000 0.385 0.115
Pr 0.000 0.320 0.820
Mg 0.500 0.710 0.441
Mg 0.500 0.790 0.941
Pr 0.000 0.820 0.680
Pr 0.000 0.180 0.320
Mg 0.500 0.000 0.500
Mg 0.500 0.500 0.000
Mg 0.500 0.059 0.790
Er 0.000 0.500 0.500

---

Material: Mg2AgPd
Method: DFT, PBE
State: optimized geometry

Summary:
**DFT formation energy**: -0.48 eV per atom
**SG**: P4/mmm
**Total magnetization**: 0.000 μB/f.u.

a b c (Å): 3.153 4.677 4.677
angles (deg): 90.00 90.00 90.00
Sites, in units of the cell vectors:
Mg 0.000 0.000 0.500
Mg 0.000 0.500 0.000
Ag 0.500 0.000 0.000
Pd 0.500 0.500 0.500

---

Material: InCoSi
Method: DFT, PBE
State: optimized geometry

Summary:
**DFT total energy**: -5.013 eV/atom
**SG**: I4mm
**Total magnetization**: 0.000 μB/f.u.

a b c (Å): 5.884 5.884 2.910
angles (deg): 75.68 75.68 28.63
Sites, in units of the cell vectors:
In 0.345 0.345 0.655
Si 0.629 0.629 0.371
Co 0.026 0.026 0.974

---

Among the records above, which one has the highest total magnetization?
Rb6TiBi4